No. 1
Computed, not measured: a relaxed NdLuCuSi crystal at the PBE level of DFT.

Output
M_tot   0.000 μB/atom
Formation energy without anion corrections   -0.380 eV per atom
E_tot   -81.3 eV/cell
DOS(E_F)   11.6 states/eV/cell

a b c (Å): 7.032 7.032 7.032
angles (deg): 90.00 90.00 90.00
Space group F-43m (No. 216)
Inequivalent atoms, fractional coordinates:
Nd 0.000 0.000 0.000 x4
Lu 0.000 0.000 0.500 x4
Cu 0.250 0.250 0.250 x4
Si 0.250 0.250 0.750 x4



No. 2
Computed, not measured: a relaxed Ac3InGa2Pt6 crystal at the PBE level of DFT.

Output
M_tot   0.000 μB/atom
E_tot   -67.1 eV/cell
Formation energy   -0.81 eV per atom
DOS(E_F)   4.2 states/eV/cell

a b c (Å): 5.9649 5.9649 9.1988
angles (deg): 90.00 90.00 120.00
Space group P-3m1 (No. 164)
Inequivalent atoms, fractional coordinates:
Ac 0.0000 0.0000 0.0000 x1
Ac 0.3333 0.6667 0.6313 x2
In 0.0000 0.0000 0.5000 x1
Ga 0.3333 0.6667 0.0503 x2
Pt 0.1754 0.3508 0.2772 x6



No. 3
Computed, not measured: a relaxed CaHg6Pd2 crystal at the PBE level of DFT.

Output
M_tot   0.000 μB/atom
E_tot   -63.3 eV/cell
Formation energy   -0.18 eV per atom
DOS(E_F)   10.6 states/eV/cell

a b c (Å): 4.687 11.803 14.696
angles (deg): 90.00 90.00 90.00
Space group Fmmm (No. 69)
Inequivalent atoms, fractional coordinates:
Ca 0.000 0.000 0.000 x4
Hg 0.000 0.142 0.182 x16
Hg 0.000 0.175 0.500 x8
Pd 0.000 0.000 0.359 x8



No. 4
Computed, not measured: a relaxed KRe2 crystal at the PBE level of DFT.

Output
M_tot   0.000 μB/atom
E_tot   -96.2 eV/cell
Formation energy   0.65 eV per atom
DOS(E_F)   5.9 states/eV/cell

a b c (Å): 2.966 25.043 4.382
angles (deg): 90.00 90.00 90.00
Space group Cmcm (No. 63)
Inequivalent atoms, fractional coordinates:
K 0.000 0.166 0.250 x4
Re 0.000 0.046 0.750 x4
Re 0.000 0.459 0.750 x4



No. 5
Computed, not measured: a relaxed Ce2TmZn2Si2 crystal at the PBE level of DFT.

Output
M_tot   0.231 μB/atom
Formation energy without anion corrections   -0.394 eV per atom
E_tot   -97.5 eV/cell
DOS(E_F)   31.6 states/eV/cell

a b c (Å): 4.2163 4.2163 27.1280
angles (deg): 90.00 90.00 120.00
Space group R-3m (No. 166, hexagonal axes)
Inequivalent atoms, fractional coordinates:
Ce 0.0000 0.0000 0.1401 x6
Tm 0.0000 0.0000 0.0000 x3
Zn 0.0000 0.0000 0.4005 x6
Si 0.0000 0.0000 0.2652 x6



No. 6
Computed, not measured: a relaxed AgGePd5 crystal at the PBE level of DFT.

Output
M_tot   0.000 μB/atom
E_tot   -137.3 eV/cell
Formation energy   -0.13 eV per atom
DOS(E_F)   17.6 states/eV/cell

a b c (Å): 7.045 7.510 9.251
angles (deg): 90.00 111.32 90.00
Space group C2/c (No. 15)
Inequivalent atoms, fractional coordinates:
Ag 0.000 0.008 0.250 x4
Ge 0.000 0.500 0.000 x4
Pd 0.000 0.364 0.250 x4
Pd 0.104 0.181 0.544 x8
Pd 0.204 0.323 0.853 x8



No. 7
Computed, not measured: a relaxed CsCu2Br4 crystal at the PBE level of DFT.

Output
M_tot   0.159 μB/atom
Formation energy without anion corrections   -0.757 eV per atom
E_tot   -42.1 eV/cell
DOS(E_F)   20.1 states/eV/cell

a b c (Å): 8.947 8.947 5.740
angles (deg): 90.00 90.00 90.00
Space group I4/m (No. 87)
Inequivalent atoms, fractional coordinates:
Cs 0.000 0.000 0.000 x2
Cu 0.000 0.500 0.250 x4
Br 0.115 0.690 0.500 x8



No. 8
Computed, not measured: a relaxed CoSn4Pd2 crystal at the PBE level of DFT.

Output
M_tot   0.000 μB/atom
E_tot   -67.8 eV/cell
Formation energy   -0.06 eV per atom
DOS(E_F)   7.3 states/eV/cell

a b c (Å): 4.930 4.930 12.965
angles (deg): 90.00 90.00 90.00
Space group I4/mmm (No. 139)
Inequivalent atoms, fractional coordinates:
Co 0.000 0.000 0.000 x2
Sn 0.000 0.000 0.192 x4
Sn 0.000 0.500 0.000 x4
Pd 0.000 0.000 0.392 x4